(1)
# Ba2Al5Ag5, optimized geometry, DFT GGA-PBEsol
data_Ba2Al5Ag5
_chemical_formula_sum 'Ba4 Al10 Ag10'
_cell_length_a 5.469
_cell_length_b 10.987
_cell_length_c 8.598
_cell_angle_alpha 90.00
_cell_angle_beta 90.00
_cell_angle_gamma 90.00
_symmetry_space_group_name_H-M 'A m m 2'
_symmetry_Int_Tables_number 38
_symmetry_space_group_name_Hall 'A 2 -2'
loop_
_atom_site_label
_atom_site_type_symbol
_atom_site_fract_x
_atom_site_fract_y
_atom_site_fract_z
Ba1 Ba 0.000 0.000 0.000
Ba2 Ba 0.500 0.000 0.338
Al1 Al 0.250 0.205 0.655
Al2 Al 0.500 0.000 0.744
Ag1 Ag 0.000 0.000 0.601
Ag2 Ag 0.000 0.198 0.382
Ag3 Ag 0.500 0.192 0.932
# E_form: -0.29 eV/atom

---

(2)
# Os3RhI, optimized geometry, DFT GGA-PBEsol
data_Os3RhI
_chemical_formula_sum 'Os3 Rh1 I1'
_cell_length_a 4.686
_cell_length_b 4.686
_cell_length_c 4.686
_cell_angle_alpha 90.00
_cell_angle_beta 90.00
_cell_angle_gamma 90.00
_symmetry_space_group_name_H-M 'P m -3 m'
_symmetry_Int_Tables_number 221
_symmetry_space_group_name_Hall '-P 4 2 3'
loop_
_atom_site_label
_atom_site_type_symbol
_atom_site_fract_x
_atom_site_fract_y
_atom_site_fract_z
Os1 Os 0.000 0.000 0.500
Rh1 Rh 0.500 0.500 0.500
I1 I 0.000 0.000 0.000
# Formation energy (no corrections): 3.148 eV per atom